Crystalline KSc2SiAs at its relaxed geometry. Source: Alexandria, functional GGA-PBE.

- E_form (uncorrected): 0.1030 eV/atom
- Volume: 28.9 A^3/atom
- ρ: 2.66 Mg/m³
- DOS(E_F): 0.457 states/eV per atom

a = 5.091 Å, b = 5.583 Å, c = 5.091 Å
α = 90.00°, β = 90.00°, γ = 90.00°
Fractional positions:
Sc1 0.000 0.000 0.500
Sc2 0.500 0.000 0.000
As1 0.000 0.000 0.000
Si1 0.500 0.500 0.500
K1 0.000 0.500 0.000



Crystalline VNi3Rh4 at its relaxed geometry. Source: Alexandria, functional GGA-PBE.

- Volume: 14.2 A^3/atom
- Energy relative to the elements: 0.30 eV per atom
- ρ: 9.35 Mg/m³
- DOS(E_F): 1.809 states/eV per atom

a = 2.637 Å, b = 4.240 Å, c = 10.312 Å
α = 82.75°, β = 97.35°, γ = 90.00°
Fractional positions:
Ni1 0.000 0.500 0.000
Ni2 0.789 0.800 0.579
Ni3 0.211 0.200 0.421
Rh1 0.599 0.247 0.198
Rh2 0.401 0.753 0.802
Rh3 0.328 0.286 0.655
Rh4 0.672 0.714 0.345
V1 0.500 0.000 0.000



Question: Among the records above, which one has the highest volume?
Answer: KSc2SiAs



Question: The lowest ρ belongs to which entry?
Answer: KSc2SiAs



Question: The highest DOS(E_F) belongs to which entry?
Answer: VNi3Rh4